## TiCrAgS4 (PBE-GGA)

Data for a relaxed structure of TiCrAgS4.

Values from the calculation:
ρ = 4.0 Mg/m³
formation energy from raw total energies = -0.627 eV per atom

a b c (Å): 7.292 7.200 10.649
angles (deg): 90.00 90.00 90.00
Sites, in units of the cell vectors:
Ti  0.000  0.250  0.250
Ti  0.000  0.750  0.750
Ti  0.500  0.250  0.250
Ti  0.500  0.750  0.750
Cr  0.249  0.250  0.610
Cr  0.251  0.750  0.110
Cr  0.749  0.250  0.890
Cr  0.751  0.750  0.390
Ag  0.250  0.250  0.888
Ag  0.250  0.750  0.388
Ag  0.750  0.250  0.612
Ag  0.750  0.750  0.112
S  0.026  0.250  0.476
S  0.026  0.750  0.976
S  0.250  0.017  0.229
S  0.250  0.483  0.229
S  0.250  0.517  0.729
S  0.250  0.983  0.729
S  0.474  0.250  0.476
S  0.474  0.750  0.976
S  0.526  0.250  0.024
S  0.526  0.750  0.524
S  0.750  0.017  0.271
S  0.750  0.483  0.271
S  0.750  0.517  0.771
S  0.750  0.983  0.771
S  0.974  0.250  0.024
S  0.974  0.750  0.524

---

## La5Si2Cl (PBE-GGA)

Data for a relaxed structure of La5Si2Cl.

Values from the calculation:
ρ = 5.8 Mg/m³
formation energy from raw total energies = -0.679 eV per atom

a b c (Å): 9.208 9.208 9.208
angles (deg): 129.47 129.47 74.26
Sites, in units of the cell vectors:
La  0.000  0.000  0.000
La  0.029  0.529  0.838
La  0.191  0.029  0.500
La  0.309  0.809  0.838
La  0.471  0.309  0.500
La  0.500  0.500  0.000
La  0.529  0.691  0.500
La  0.691  0.191  0.162
La  0.809  0.971  0.500
La  0.971  0.471  0.162
Si  0.120  0.380  0.500
Si  0.380  0.880  0.261
Si  0.620  0.120  0.739
Si  0.880  0.620  0.500
Cl  0.250  0.250  0.000
Cl  0.750  0.750  0.000

---

## BaMn2Zn (PBE-GGA)

Data for a relaxed structure of BaMn2Zn.

Values from the calculation:
DFT formation energy = 0.59 eV per atom
ρ = 4.6 Mg/m³

a b c (Å): 9.552 9.552 9.552
angles (deg): 149.30 149.30 43.97
Sites, in units of the cell vectors:
Ba  0.375  0.625  0.750
Ba  0.625  0.375  0.250
Mn  0.000  0.000  0.000
Mn  0.000  0.000  0.500
Mn  0.000  0.500  0.000
Mn  0.500  0.000  0.500
Zn  0.125  0.875  0.250
Zn  0.875  0.125  0.750

---

## Tc2OsSe (PBE-GGA)

Data for a relaxed structure of Tc2OsSe.

Values from the calculation:
ρ = 12.8 Mg/m³
formation energy from raw total energies = 0.769 eV per atom

a b c (Å): 3.925 3.925 3.924
angles (deg): 90.00 90.00 90.00
Sites, in units of the cell vectors:
Tc  0.000  0.500  0.000
Tc  0.500  0.000  0.000
Os  0.000  0.000  0.500
Se  0.500  0.500  0.500

---

## KCaNi (PBE-GGA)

Data for a relaxed structure of KCaNi.

Values from the calculation:
DFT formation energy = 0.99 eV per atom
ρ = 2.4 Mg/m³

a b c (Å): 5.096 5.096 5.096
angles (deg): 60.00 60.00 60.00
Sites, in units of the cell vectors:
K  0.000  0.000  0.000
Ca  0.250  0.250  0.250
Ni  0.750  0.750  0.750

---

## Pm2Zn5Sn (PBE-GGA)

Data for a relaxed structure of Pm2Zn5Sn.

Values from the calculation:
DFT formation energy = -0.44 eV per atom
ρ = 7.4 Mg/m³

a b c (Å): 8.541 8.541 9.065
angles (deg): 90.00 90.00 149.85
Sites, in units of the cell vectors:
Pm  0.000  0.000  0.000
Pm  0.000  0.000  0.500
Pm  0.205  0.795  0.750
Pm  0.795  0.205  0.250
Zn  0.186  0.814  0.109
Zn  0.186  0.814  0.391
Zn  0.344  0.656  0.017
Zn  0.344  0.656  0.483
Zn  0.394  0.606  0.750
Zn  0.606  0.394  0.250
Zn  0.656  0.344  0.517
Zn  0.656  0.344  0.983
Zn  0.814  0.186  0.609
Zn  0.814  0.186  0.891
Sn  0.446  0.554  0.250
Sn  0.554  0.446  0.750

---

## OsRhSeN2 (PBE-GGA)

Data for a relaxed structure of OsRhSeN2.

Values from the calculation:
ρ = 7.3 Mg/m³
formation energy from raw total energies = 1.693 eV per atom

a b c (Å): 3.683 3.683 6.669
angles (deg): 90.00 90.00 90.00
Sites, in units of the cell vectors:
Os  0.000  0.000  0.000
Rh  0.500  0.500  0.500
Se  0.500  0.500  0.000
N  0.000  0.500  0.500
N  0.500  0.000  0.500

---

## Ta2ReBr (PBE-GGA)

Data for a relaxed structure of Ta2ReBr.

Values from the calculation:
ρ = 14.7 Mg/m³
formation energy from raw total energies = 0.505 eV per atom

a b c (Å): 2.946 4.573 5.382
angles (deg): 90.00 101.24 90.00
Sites, in units of the cell vectors:
Ta  0.000  0.000  0.000
Ta  0.291  0.500  0.736
Re  0.572  0.000  0.532
Br  0.508  0.500  0.230

---

> Look up the ρ of the seventh one.

7.3 Mg/m³